No. 1
Density functional theory data (PBEsol) for a relaxed structure of Li2MgIn.

Cell: 6.6148 6.6148 6.6148 Å, 90.00 90.00 90.00°
Space group Fm-3m (No. 225)
Unique sites:
Li 0.2500 0.2500 0.2500 (multiplicity 8)
Mg 0.0000 0.0000 0.0000 (multiplicity 4)
In 0.0000 0.0000 0.5000 (multiplicity 4)

Values from the calculation:
Formation enthalpy at 0 K ... -1.0 eV/f.u.
V ... 18.09 Å³ per atom
Crystal system ... cubic



No. 2
Density functional theory data (PBEsol) for a relaxed structure of Sr2ZrTe.

Cell: 4.9055 4.1878 12.7826 Å, 90.00 90.00 90.00°
Space group Amm2 (No. 38)
Unique sites:
Sr 0.0000 0.0000 0.0000 (multiplicity 2)
Sr 0.5000 0.0000 0.3075 (multiplicity 2)
Zr 0.5000 0.0000 0.5946 (multiplicity 2)
Te 0.0000 0.0000 0.7170 (multiplicity 2)

Values from the calculation:
ΔE_f (raw) ... -0.29 eV/atom
V ... 32.82 Å³ per atom
Crystal system ... orthorhombic



No. 3
Density functional theory data (PBEsol) for a relaxed structure of Li2TiFeO4.

Cell: 5.7547 5.7847 7.9327 Å, 90.00 90.00 90.00°
Space group Imm2 (No. 44)
Unique sites:
Li 0.0000 0.2395 0.0000 (multiplicity 4)
Li 0.2489 0.0000 0.7509 (multiplicity 4)
Ti 0.2440 0.0000 0.2636 (multiplicity 4)
Fe 0.0000 0.2465 0.4921 (multiplicity 4)
O 0.0000 0.2415 0.2454 (multiplicity 4)
O 0.0000 0.2671 0.7450 (multiplicity 4)
O 0.2261 0.5000 0.5033 (multiplicity 4)
O 0.2372 0.0000 0.5064 (multiplicity 4)

Values from the calculation:
ΔE_f (raw) ... -2.17 eV/atom
V ... 8.25 Å³ per atom
E above lowest polymorph ... 20.8 meV/atom
Crystal system ... orthorhombic



No. 4
Density functional theory data (PBEsol) for a relaxed structure of TmO3.

Cell: 5.4299 5.4299 5.4299 Å, 90.00 90.00 90.00°
Space group Fm-3m (No. 225)
Unique sites:
Tm 0.0000 0.0000 0.0000 (multiplicity 4)
O 0.0000 0.0000 0.5000 (multiplicity 4)
O 0.2500 0.2500 0.2500 (multiplicity 8)

Values from the calculation:
ΔE_f (raw) ... -1.53 eV/atom
V ... 10.01 Å³ per atom
Crystal system ... cubic



No. 5
Density functional theory data (PBEsol) for a relaxed structure of MgAu2.

Cell: 3.3055 3.5505 8.7900 Å, 90.00 90.00 90.00°
Space group Immm (No. 71)
Unique sites:
Mg 0.0000 0.0000 0.0000 (multiplicity 2)
Au 0.0000 0.0000 0.3380 (multiplicity 4)

Values from the calculation:
Formation enthalpy at 0 K ... -1.4 eV/f.u.
V ... 17.19 Å³ per atom
Crystal system ... orthorhombic



No. 6
Density functional theory data (PBEsol) for a relaxed structure of Sc2CrC3.

Cell: 5.7266 13.9725 3.2407 Å, 90.00 90.00 90.00°
Space group Pbam (No. 55)
Unique sites:
Sc 0.0000 0.0000 0.0000 (multiplicity 2)
Sc 0.0000 0.5000 0.5000 (multiplicity 2)
Sc 0.1242 0.1876 0.5000 (multiplicity 4)
Cr 0.2012 0.3464 0.0000 (multiplicity 4)
C 0.1057 0.7220 0.0000 (multiplicity 4)
C 0.1371 0.6171 0.0000 (multiplicity 4)
C 0.1805 0.9075 0.5000 (multiplicity 4)

Values from the calculation:
Formation enthalpy at 0 K ... -2.9 eV/f.u.
V ... 10.80 Å³ per atom
Crystal system ... orthorhombic